DFT (GGA-PBE) results for a relaxed CeMn4 crystal.

Values from the calculation:
Final energy, eV/cell: -35.9
Calculated volume, Å³/f.u.: 89.1
ΔE_f, meV/atom: 1348.5

Cell lengths 4.467, 4.467, 4.467 Å; angles 90.00, 90.00, 90.00 degrees
Atoms (fractional coordinates):
Ce 0.000 0.000 0.000
Mn 0.000 0.000 0.500
Mn 0.000 0.500 0.000
Mn 0.500 0.000 0.000
Mn 0.500 0.500 0.500